No. 1
The following is a GGA-PBE calculation of an optimized crystal structure of Cr2FeRh, from Alexandria.

a = 2.6142 Å, b = 2.6142 Å, c = 25.0626 Å
α = 90.00°, β = 90.00°, γ = 120.00°
Closest atoms and distances in Å follow each position.
Space group R3m (No. 160, hexagonal axes)
One atom of each set of equivalent atoms:
Cr: 0.0000 0.0000 0.0000 (multiplicity 3)  3 Fe 2.45, 9 Cr 2.61-2.62
Cr: 0.0000 0.0000 0.2479 (multiplicity 3)  3 Rh 2.56, 9 Cr 2.61-2.62
Fe: 0.0000 0.0000 0.7438 (multiplicity 3)  3 Cr 2.45, 6 Fe 2.61, 3 Rh 2.68
Rh: 0.0000 0.0000 0.4989 (multiplicity 3)  3 Cr 2.56, 6 Rh 2.61, 3 Fe 2.68

## Properties
Formation energy ... 0.186 eV/atom

No. 2
The following is a GGA-PBE calculation of an optimized crystal structure of CrFe2Rh, from Alexandria.

a = 2.7006 Å, b = 3.4825 Å, c = 5.3120 Å
α = 90.00°, β = 90.00°, γ = 90.00°
Closest atoms and distances in Å follow each position.
Space group Pmm2 (No. 25)
One atom of each set of equivalent atoms:
Cr: 0.0000 0.0000 0.0000 (multiplicity 1)  5 Fe 2.49-2.52, 4 Rh 2.62, 2 Cr 2.70
Fe: 0.0000 0.0000 0.4689 (multiplicity 1)  1 Cr 2.49, 6 Fe 2.54-2.70, 4 Rh 2.62
Fe: 0.5000 0.5000 0.2320 (multiplicity 1)  4 Cr 2.52, 6 Fe 2.54-2.70, 2 Rh 2.64-2.67
Rh: 0.5000 0.5000 0.7347 (multiplicity 1)  4 Cr 2.62, 6 Fe 2.62-2.67, 2 Rh 2.70

## Properties
Formation energy ... 0.026 eV/atom

No. 3
The following is a GGA-PBE calculation of an optimized crystal structure of Cr2FeRh2, from Alexandria.

a = 7.0186 Å, b = 7.0186 Å, c = 2.6712 Å
α = 90.00°, β = 90.00°, γ = 90.00°
Closest atoms and distances in Å follow each position.
Space group P4/mbm (No. 127)
One atom of each set of equivalent atoms:
Cr: 0.1153 0.3847 0.0000 (multiplicity 4)  1 Cr 2.29, 6 Rh 2.44-2.50
Fe: 0.0000 0.0000 0.0000 (multiplicity 2)  2 Fe 2.67, 4 Cr 2.82, 8 Rh 2.90
Rh: 0.1792 0.6792 0.5000 (multiplicity 4)  6 Cr 2.44-2.50, 2 Rh 2.67

## Properties
Formation energy ... 0.324 eV/atom

No. 4
The following is a GGA-PBE calculation of an optimized crystal structure of CrFe2Rh, from Alexandria.

a = 2.6149 Å, b = 2.6149 Å, c = 24.9758 Å
α = 90.00°, β = 90.00°, γ = 120.00°
Closest atoms and distances in Å follow each position.
Space group R-3m (No. 166, hexagonal axes)
One atom of each set of equivalent atoms:
Cr: 0.0000 0.0000 0.0000 (multiplicity 3)  6 Fe 2.50, 6 Cr 2.61
Fe: 0.0000 0.0000 0.2537 (multiplicity 6)  3 Cr 2.50, 6 Fe 2.61, 3 Rh 2.65
Rh: 0.0000 0.0000 0.5000 (multiplicity 3)  6 Rh 2.61, 6 Fe 2.65

## Properties
Formation energy ... 0.162 eV/atom

No. 5
The following is a GGA-PBE calculation of an optimized crystal structure of Cr3FeRh, from Alexandria.

a = 4.1332 Å, b = 4.1332 Å, c = 4.1332 Å
α = 90.00°, β = 90.00°, γ = 90.00°
Closest atoms and distances in Å follow each position.
Space group Pm-3m (No. 221)
One atom of each set of equivalent atoms:
Cr: 0.0000 0.0000 0.5000 (multiplicity 3)  2 Fe 2.07
Fe: 0.0000 0.0000 0.0000 (multiplicity 1)  6 Cr 2.07
Rh: 0.5000 0.5000 0.5000 (multiplicity 1)  12 Cr 2.92

## Properties
Formation energy ... 1.068 eV/atom

No. 6
The following is a GGA-PBE calculation of an optimized crystal structure of CrFe3Rh6, from Alexandria.

a = 7.1075 Å, b = 4.3143 Å, c = 9.3330 Å
α = 90.00°, β = 110.03°, γ = 90.00°
Closest atoms and distances in Å follow each position.
Space group P2_1/m (No. 11)
One atom of each set of equivalent atoms:
Cr: 0.1066 0.2500 0.0720 (multiplicity 2)  8 Rh 2.60-2.65, 2 Fe 2.70-2.73, 2 Cr 2.71
Fe: 0.0973 0.7500 0.7315 (multiplicity 2)  8 Rh 2.58-2.70, 3 Fe 2.68-2.71, 1 Cr 2.70
Fe: 0.2980 0.7500 0.5312 (multiplicity 2)  11 Rh 2.64-2.77, 1 Fe 2.71
Fe: 0.3054 0.2500 0.8677 (multiplicity 2)  9 Rh 2.59-2.75, 2 Fe 2.68, 1 Cr 2.73
Rh: 0.0818 0.7500 0.2220 (multiplicity 2)  4 Fe 2.59-2.77, 3 Cr 2.61, 5 Rh 2.70-2.77
Rh: 0.1065 0.2500 0.5711 (multiplicity 2)  7 Fe 2.64-2.70, 5 Rh 2.66-2.71
Rh: 0.2834 0.7500 0.0224 (multiplicity 2)  4 Fe 2.58-2.75, 3 Cr 2.60-2.62, 5 Rh 2.70-2.76
Rh: 0.2962 0.2500 0.3667 (multiplicity 2)  1 Cr 2.62, 4 Fe 2.63-2.71, 7 Rh 2.66-2.74
Rh: 0.4959 0.7500 0.3315 (multiplicity 2)  8 Rh 2.66-2.77, 4 Fe 2.68-2.69
Rh: 0.4967 0.7500 0.8325 (multiplicity 2)  5 Fe 2.63-2.68, 1 Cr 2.65, 6 Rh 2.66-2.74

## Properties
Formation energy ... -0.051 eV/atom

No. 7
The following is a GGA-PBE calculation of an optimized crystal structure of CrFeRh3, from Alexandria.

a = 5.1701 Å, b = 12.1716 Å, c = 4.8175 Å
α = 90.00°, β = 90.00°, γ = 90.00°
Closest atoms and distances in Å follow each position.
Space group Cmcm (No. 63)
One atom of each set of equivalent atoms:
Cr: 0.0000 0.1757 0.2500 (multiplicity 4)  4 Rh 2.33-2.45
Fe: 0.0000 0.4652 0.7500 (multiplicity 4)  2 Fe 2.55, 2 Rh 2.78
Rh: 0.0000 0.0000 0.0000 (multiplicity 4)  6 Rh 2.41-2.68, 2 Cr 2.45
Rh: 0.2469 0.1664 0.7500 (multiplicity 8)  1 Cr 2.33, 1 Rh 2.55

## Properties
Formation energy ... 0.386 eV/atom

No. 8
The following is a GGA-PBE calculation of an optimized crystal structure of Cr12Fe3Rh5, from Alexandria.

a = 13.5206 Å, b = 13.5206 Å, c = 13.5206 Å
α = 90.00°, β = 90.00°, γ = 90.00°
Closest atoms and distances in Å follow each position.
Space group Ia-3d (No. 230)
One atom of each set of equivalent atoms:
Cr: 0.0087 0.0877 0.6585 (multiplicity 96)  1 Cr 2.17, 1 Fe 2.24, 1 Rh 2.33
Fe: 0.0000 0.2500 0.1250 (multiplicity 24)  8 Cr 2.24-2.49
Rh: 0.0000 0.0000 0.0000 (multiplicity 16)  6 Cr 2.45
Rh: 0.0000 0.2500 0.3750 (multiplicity 24)  4 Cr 2.33

## Properties
Formation energy ... 0.875 eV/atom

No. 9
The following is a GGA-PBE calculation of an optimized crystal structure of CrFe2Rh, from Alexandria.

a = 2.6573 Å, b = 3.5998 Å, c = 5.2270 Å
α = 90.00°, β = 90.00°, γ = 90.00°
Closest atoms and distances in Å follow each position.
Space group Pmmm (No. 47)
One atom of each set of equivalent atoms:
Cr: 0.0000 0.0000 0.0000 (multiplicity 1)  8 Fe 2.57, 2 Rh 2.61, 2 Cr 2.66
Fe: 0.5000 0.5000 0.2402 (multiplicity 2)  4 Fe 2.51-2.72, 4 Cr 2.57, 4 Rh 2.62
Rh: 0.0000 0.0000 0.5000 (multiplicity 1)  2 Cr 2.61, 8 Fe 2.62, 2 Rh 2.66

## Properties
Formation energy ... 0.047 eV/atom

No. 10
The following is a GGA-PBE calculation of an optimized crystal structure of Cr2FeRh, from Alexandria.

a = 2.5929 Å, b = 2.5929 Å, c = 24.9748 Å
α = 90.00°, β = 90.00°, γ = 120.00°
Closest atoms and distances in Å follow each position.
Space group R-3m (No. 166, hexagonal axes)
One atom of each set of equivalent atoms:
Cr: 0.0000 0.0000 0.2463 (multiplicity 6)  3 Fe 2.49, 6 Cr 2.59, 3 Rh 2.64
Fe: 0.0000 0.0000 0.5000 (multiplicity 3)  6 Cr 2.49, 6 Fe 2.59
Rh: 0.0000 0.0000 0.0000 (multiplicity 3)  6 Rh 2.59, 6 Cr 2.64

## Properties
Formation energy ... 0.164 eV/atom

No. 11
The following is a GGA-PBE calculation of an optimized crystal structure of Cr2FeRh5, from Alexandria.

a = 5.3222 Å, b = 10.6047 Å, c = 3.8135 Å
α = 90.00°, β = 90.00°, γ = 90.00°
Closest atoms and distances in Å follow each position.
Space group Pbam (No. 55)
One atom of each set of equivalent atoms:
Cr: 0.2417 0.1258 0.0000 (multiplicity 4)  10 Rh 2.62-2.71, 2 Fe 2.70
Fe: 0.0000 0.5000 0.5000 (multiplicity 2)  8 Rh 2.61-2.66, 4 Cr 2.70
Rh: 0.0000 0.0000 0.5000 (multiplicity 2)  4 Cr 2.66, 2 Fe 2.66, 6 Rh 2.69-2.70
Rh: 0.0145 0.7467 0.5000 (multiplicity 4)  1 Fe 2.62, 4 Cr 2.64-2.71, 7 Rh 2.66-2.72
Rh: 0.2348 0.3793 0.0000 (multiplicity 4)  2 Fe 2.61, 4 Cr 2.62-2.70, 6 Rh 2.68-2.72

## Properties
Formation energy ... -0.127 eV/atom

No. 12
The following is a GGA-PBE calculation of an optimized crystal structure of Cr2FeRh8, from Alexandria.

a = 3.9963 Å, b = 6.5790 Å, c = 11.7474 Å
α = 90.00°, β = 90.00°, γ = 90.00°
Closest atoms and distances in Å follow each position.
Space group Immm (No. 71)
One atom of each set of equivalent atoms:
Cr: 0.0000 0.0000 0.2020 (multiplicity 4)  10 Rh 2.51-2.70
Fe: 0.0000 0.0000 0.5000 (multiplicity 2)  12 Rh 2.59-2.82
Rh: 0.0000 0.1970 0.0000 (multiplicity 4)  7 Rh 2.59-2.69, 2 Cr 2.70, 2 Fe 2.82
Rh: 0.0000 0.2867 0.3485 (multiplicity 8)  3 Cr 2.51-2.55, 1 Fe 2.59, 6 Rh 2.68-2.81
Rh: 0.0000 0.5000 0.1532 (multiplicity 4)  2 Cr 2.62, 8 Rh 2.69-2.75, 2 Fe 2.69

## Properties
Formation energy ... 0.029 eV/atom

No. 13
The following is a GGA-PBE calculation of an optimized crystal structure of CrFe3Rh, from Alexandria.

a = 4.1515 Å, b = 4.1515 Å, c = 4.1515 Å
α = 90.00°, β = 90.00°, γ = 90.00°
Closest atoms and distances in Å follow each position.
Space group Pm-3m (No. 221)
One atom of each set of equivalent atoms:
Cr: 0.0000 0.0000 0.0000 (multiplicity 1)  6 Fe 2.08
Fe: 0.0000 0.0000 0.5000 (multiplicity 3)  2 Cr 2.08
Rh: 0.5000 0.5000 0.5000 (multiplicity 1)  12 Fe 2.94

## Properties
Formation energy ... 1.087 eV/atom

No. 14
The following is a GGA-PBE calculation of an optimized crystal structure of CrFe2Rh, from Alexandria.

a = 2.5649 Å, b = 4.0848 Å, c = 4.8515 Å
α = 90.00°, β = 100.94°, γ = 90.00°
Closest atoms and distances in Å follow each position.
Space group P2/m (No. 10)
One atom of each set of equivalent atoms:
Cr: 0.0000 0.0000 0.0000 (multiplicity 1)  4 Fe 2.46, 2 Rh 2.52, 2 Cr 2.56
Fe: 0.2139 0.5000 0.7618 (multiplicity 2)  2 Cr 2.46, 5 Fe 2.49-2.74, 2 Rh 2.58
Rh: 0.5000 0.0000 0.5000 (multiplicity 1)  2 Cr 2.52, 2 Rh 2.56, 4 Fe 2.58

## Properties
Formation energy ... 0.117 eV/atom

No. 15
The following is a GGA-PBE calculation of an optimized crystal structure of CrFe5Rh6, from Alexandria.

a = 3.8263 Å, b = 7.2235 Å, c = 11.5085 Å
α = 90.00°, β = 90.00°, γ = 90.00°
Closest atoms and distances in Å follow each position.
Space group Immm (No. 71)
One atom of each set of equivalent atoms:
Cr: 0.0000 0.0000 0.0000 (multiplicity 2)  8 Rh 2.60-2.61, 4 Fe 2.71
Fe: 0.0000 0.0000 0.3378 (multiplicity 4)  8 Rh 2.63-2.66, 4 Fe 2.67-2.75
Fe: 0.0000 0.5000 0.0000 (multiplicity 2)  8 Rh 2.65-2.66, 4 Fe 2.67
Fe: 0.0000 0.5000 0.3335 (multiplicity 4)  8 Rh 2.60-2.66, 2 Cr 2.71, 2 Fe 2.75
Rh: 0.0000 0.2464 0.1660 (multiplicity 8)  1 Cr 2.61, 7 Fe 2.61-2.66, 4 Rh 2.70-2.72
Rh: 0.0000 0.2558 0.5000 (multiplicity 4)  2 Cr 2.60, 6 Fe 2.60-2.66, 4 Rh 2.70

## Properties
Formation energy ... -0.055 eV/atom

No. 16
The following is a GGA-PBE calculation of an optimized crystal structure of CrFe2Rh2, from Alexandria.

a = 6.9305 Å, b = 6.9305 Å, c = 2.6500 Å
α = 90.00°, β = 90.00°, γ = 90.00°
Closest atoms and distances in Å follow each position.
Space group P4/mbm (No. 127)
One atom of each set of equivalent atoms:
Cr: 0.0000 0.0000 0.0000 (multiplicity 2)  2 Cr 2.65, 4 Fe 2.77, 8 Rh 2.87
Fe: 0.1174 0.3826 0.0000 (multiplicity 4)  1 Fe 2.30, 6 Rh 2.40-2.48
Rh: 0.1787 0.6787 0.5000 (multiplicity 4)  6 Fe 2.40-2.48, 2 Rh 2.65

## Properties
Formation energy ... 0.320 eV/atom

No. 17
The following is a GGA-PBE calculation of an optimized crystal structure of Cr2FeRh, from Alexandria.

a = 2.9528 Å, b = 4.0436 Å, c = 8.2451 Å
α = 90.00°, β = 90.00°, γ = 90.00°
Closest atoms and distances in Å follow each position.
Space group Immm (No. 71)
One atom of each set of equivalent atoms:
Cr: 0.0000 0.0000 0.2378 (multiplicity 4)  2 Fe 2.45, 4 Cr 2.51, 2 Rh 2.62
Fe: 0.0000 0.5000 0.5000 (multiplicity 2)  4 Cr 2.45, 4 Rh 2.50
Rh: 0.0000 0.5000 0.0000 (multiplicity 2)  4 Fe 2.50, 4 Cr 2.62

## Properties
Formation energy ... 0.131 eV/atom

No. 18
The following is a GGA-PBE calculation of an optimized crystal structure of Cr2Fe2Rh15, from Alexandria.

a = 8.7228 Å, b = 8.7228 Å, c = 13.3778 Å
α = 90.00°, β = 90.00°, γ = 120.00°
Closest atoms and distances in Å follow each position.
Space group R-3m (No. 166, hexagonal axes)
One atom of each set of equivalent atoms:
Cr: 0.0000 0.0000 0.0850 (multiplicity 6)  1 Cr 2.27
Fe: 0.0000 0.0000 0.2770 (multiplicity 6)  1 Cr 2.57, 3 Rh 2.83
Rh: 0.0000 0.3142 0.0000 (multiplicity 18)  8 Rh 2.62-2.74
Rh: 0.0000 0.5000 0.5000 (multiplicity 9)  8 Rh 2.51-2.62, 2 Cr 2.74
Rh: 0.0034 0.5017 0.8431 (multiplicity 18)  8 Rh 2.51-2.73, 1 Cr 2.78

## Properties
Formation energy ... 0.350 eV/atom

No. 19
The following is a GGA-PBE calculation of an optimized crystal structure of Cr2FeRh, from Alexandria.

a = 3.6940 Å, b = 3.6940 Å, c = 7.2400 Å
α = 90.00°, β = 90.00°, γ = 90.00°
Closest atoms and distances in Å follow each position.
Space group I-4m2 (No. 119)
One atom of each set of equivalent atoms:
Cr: 0.0000 0.0000 0.0000 (multiplicity 2)  4 Cr 2.59, 4 Fe 2.59, 4 Rh 2.61
Cr: 0.0000 0.5000 0.2500 (multiplicity 2)  4 Cr 2.59, 4 Rh 2.59, 4 Fe 2.61
Fe: 0.0000 0.5000 0.7500 (multiplicity 2)  8 Cr 2.59-2.61, 4 Rh 2.59
Rh: 0.0000 0.0000 0.5000 (multiplicity 2)  8 Cr 2.59-2.61, 4 Fe 2.59

## Properties
Formation energy ... 0.083 eV/atom

No. 20
The following is a GGA-PBE calculation of an optimized crystal structure of Cr2FeRh, from Alexandria.

a = 3.6296 Å, b = 3.6296 Å, c = 7.3588 Å
α = 90.00°, β = 90.00°, γ = 90.00°
Closest atoms and distances in Å follow each position.
Space group I4/mmm (No. 139)
One atom of each set of equivalent atoms:
Cr: 0.0000 0.5000 0.2500 (multiplicity 4)  4 Cr 2.57, 4 Fe 2.58, 4 Rh 2.58
Fe: 0.0000 0.0000 0.0000 (multiplicity 2)  4 Rh 2.57, 8 Cr 2.58
Rh: 0.0000 0.0000 0.5000 (multiplicity 2)  4 Fe 2.57, 8 Cr 2.58

## Properties
Formation energy ... 0.047 eV/atom